P | Computed, not measured: an optimized crystal structure of YCdSeBr2 at the PBE-GGA level of DFT.

a b c (Å): 5.299 5.299 5.401
angles (deg): 90.00 90.00 90.00
Atoms (fractional coordinates):
Y: 0.000 0.000 0.000
Cd: 0.500 0.500 0.500
Se: 0.500 0.500 0.000
Br: 0.000 0.500 0.500
Br: 0.500 0.000 0.500

***

Q | Computed, not measured: an optimized crystal structure of YCdSeBr2 at the PBE-GGA level of DFT.

a b c (Å): 5.531 5.531 5.640
angles (deg): 90.00 90.00 90.00
Atoms (fractional coordinates):
Y: 0.000 0.000 0.000
Cd: 0.500 0.500 0.500
Se: 0.000 0.000 0.500
Br: 0.000 0.500 0.000
Br: 0.500 0.000 0.000

***

Winner for stability: Q

***

P | Computed, not measured: an optimized crystal structure of ZnCdSeBr2 at the PBE-GGA level of DFT.

a b c (Å): 5.032 5.032 5.299
angles (deg): 90.00 90.00 90.00
Atoms (fractional coordinates):
Zn: 0.000 0.000 0.000
Cd: 0.500 0.500 0.500
Se: 0.000 0.000 0.500
Br: 0.000 0.500 0.000
Br: 0.500 0.000 0.000

***

Q | Computed, not measured: an optimized crystal structure of ZnCdSeBr2 at the PBE-GGA level of DFT.

a b c (Å): 5.368 5.368 5.503
angles (deg): 90.00 90.00 90.00
Atoms (fractional coordinates):
Zn: 0.000 0.000 0.000
Cd: 0.500 0.500 0.500
Se: 0.500 0.500 0.000
Br: 0.000 0.500 0.500
Br: 0.500 0.000 0.500

***

Winner for stability: P

***

P | Computed, not measured: an optimized crystal structure of Cd2SiBr at the PBE-GGA level of DFT.

a b c (Å): 5.280 5.280 3.598
angles (deg): 90.00 90.00 90.00
Atoms (fractional coordinates):
Cd: 0.000 0.500 0.099
Cd: 0.500 0.000 0.901
Si: 0.500 0.500 0.000
Br: 0.000 0.000 0.500

***

Q | Computed, not measured: an optimized crystal structure of Cd2SiBr at the PBE-GGA level of DFT.

a b c (Å): 6.125 6.125 6.125
angles (deg): 139.52 139.52 58.58
Atoms (fractional coordinates):
Cd: 0.000 0.000 0.000
Cd: 0.750 0.250 0.500
Si: 0.250 0.750 0.500
Br: 0.500 0.500 0.000

***

R | Computed, not measured: an optimized crystal structure of Cd2SiBr at the PBE-GGA level of DFT.

a b c (Å): 3.333 3.333 10.016
angles (deg): 90.00 90.00 121.07
Atoms (fractional coordinates):
Cd: 0.000 0.000 0.000
Cd: 0.500 0.500 0.257
Si: 0.500 0.500 0.756
Br: 0.000 0.000 0.555

***

Winner for stability: P

***

P | Computed, not measured: an optimized crystal structure of Cd2SiBr at the PBE-GGA level of DFT.

a b c (Å): 7.729 7.729 7.729
angles (deg): 130.80 130.80 72.12
Atoms (fractional coordinates):
Cd: 0.074 0.625 0.949
Cd: 0.375 0.324 0.449
Cd: 0.676 0.125 0.051
Cd: 0.875 0.926 0.551
Si: 0.000 0.000 0.000
Si: 0.750 0.250 0.500
Br: 0.250 0.750 0.500
Br: 0.500 0.500 0.000

***

Q | Computed, not measured: an optimized crystal structure of Cd2SiBr at the PBE-GGA level of DFT.

a b c (Å): 5.090 5.090 4.704
angles (deg): 106.03 106.03 110.08
Atoms (fractional coordinates):
Cd: 0.000 0.500 0.000
Cd: 0.500 0.000 0.000
Si: 0.000 0.000 0.500
Br: 0.500 0.500 0.500

***

Winner for stability: P

***

P | Computed, not measured: an optimized crystal structure of Cd2SiBr at the PBE-GGA level of DFT.

a b c (Å): 5.357 5.357 3.189
angles (deg): 90.00 90.00 90.07
Atoms (fractional coordinates):
Cd: 0.000 0.500 0.000
Cd: 0.500 0.000 0.000
Si: 0.000 0.000 0.500
Br: 0.500 0.500 0.500

***

Q | Computed, not measured: an optimized crystal structure of Cd2SiBr at the PBE-GGA level of DFT.

a b c (Å): 5.133 5.133 5.133
angles (deg): 60.00 60.00 60.00
Atoms (fractional coordinates):
Cd: 0.250 0.250 0.250
Cd: 0.750 0.750 0.750
Si: 0.000 0.000 0.000
Br: 0.500 0.500 0.500

***

Winner for stability: P

***

P | Computed, not measured: an optimized crystal structure of Cd2SiBr at the PBE-GGA level of DFT.

a b c (Å): 7.780 7.780 7.780
angles (deg): 154.15 149.85 40.13
Atoms (fractional coordinates):
Cd: 0.000 0.000 0.000
Cd: 0.698 0.198 0.500
Si: 0.149 0.649 0.500
Br: 0.395 0.395 0.000

***

Q | Computed, not measured: an optimized crystal structure of Cd2SiBr at the PBE-GGA level of DFT.

a b c (Å): 3.486 3.486 7.668
angles (deg): 90.00 90.00 90.00
Atoms (fractional coordinates):
Cd: 0.000 0.000 0.216
Cd: 0.000 0.000 0.784
Si: 0.500 0.500 0.000
Br: 0.500 0.500 0.500

***

R | Computed, not measured: an optimized crystal structure of Cd2SiBr at the PBE-GGA level of DFT.

a b c (Å): 3.140 5.121 5.849
angles (deg): 90.00 90.00 90.00
Atoms (fractional coordinates):
Cd: 0.000 0.000 0.000
Cd: 0.500 0.500 0.000
Si: 0.000 0.500 0.500
Br: 0.500 0.000 0.500

***

S | Computed, not measured: an optimized crystal structure of Cd2SiBr at the PBE-GGA level of DFT.

a b c (Å): 7.546 7.546 4.193
angles (deg): 90.07 90.07 25.86
Atoms (fractional coordinates):
Cd: 0.000 0.000 0.000
Cd: 0.199 0.199 0.501
Si: 0.550 0.550 0.500
Br: 0.805 0.805 0.001

***

Winner for stability: S

***

P | Computed, not measured: an optimized crystal structure of CdSiBr at the PBE-GGA level of DFT.

a b c (Å): 4.930 4.930 4.930
angles (deg): 60.00 60.00 60.00
Atoms (fractional coordinates):
Cd: 0.000 0.000 0.000
Si: 0.250 0.250 0.250
Br: 0.750 0.750 0.750

***

Q | Computed, not measured: an optimized crystal structure of CdSiBr at the PBE-GGA level of DFT.

a b c (Å): 6.448 6.448 6.448
angles (deg): 147.82 141.70 50.86
Atoms (fractional coordinates):
Cd: 0.000 0.000 0.000
Si: 0.473 0.473 0.000
Br: 0.272 0.272 0.000

***

Winner for stability: Q

***

P | Computed, not measured: an optimized crystal structure of Cd3SiBr at the PBE-GGA level of DFT.

a b c (Å): 5.526 5.526 5.526
angles (deg): 90.00 90.00 90.00
Atoms (fractional coordinates):
Cd: 0.000 0.000 0.500
Cd: 0.000 0.500 0.000
Cd: 0.500 0.000 0.000
Si: 0.500 0.500 0.500
Br: 0.000 0.000 0.000

***

Q | Computed, not measured: an optimized crystal structure of Cd3SiBr at the PBE-GGA level of DFT.

a b c (Å): 5.225 5.225 5.225
angles (deg): 90.00 90.00 90.00
Atoms (fractional coordinates):
Cd: 0.000 0.000 0.500
Cd: 0.000 0.500 0.000
Cd: 0.500 0.000 0.000
Si: 0.000 0.000 0.000
Br: 0.500 0.500 0.500

***

Winner for stability: Q

***

P | Computed, not measured: an optimized crystal structure of CdSnBr6 at the PBE-GGA level of DFT.

a b c (Å): 7.326 7.326 7.326
angles (deg): 55.89 55.89 55.89
Atoms (fractional coordinates):
Cd: 0.000 0.000 0.000
Sn: 0.500 0.500 0.500
Br: 0.094 0.736 0.424
Br: 0.264 0.576 0.906
Br: 0.424 0.094 0.736
Br: 0.576 0.906 0.264
Br: 0.736 0.424 0.094
Br: 0.906 0.264 0.576

***

Q | Computed, not measured: an optimized crystal structure of CdSnBr6 at the PBE-GGA level of DFT.

a b c (Å): 7.253 7.253 6.892
angles (deg): 99.79 99.79 123.06
Atoms (fractional coordinates):
Cd: 0.000 0.000 0.000
Sn: 0.500 0.500 0.500
Br: 0.107 0.402 0.253
Br: 0.271 0.271 0.729
Br: 0.402 0.107 0.253
Br: 0.598 0.893 0.747
Br: 0.729 0.729 0.271
Br: 0.893 0.598 0.747

***

Winner for stability: Q

***

P | Computed, not measured: an optimized crystal structure of CdSnBr2 at the PBE-GGA level of DFT.

a b c (Å): 11.317 11.317 11.317
angles (deg): 21.82 21.82 21.82
Atoms (fractional coordinates):
Cd: 0.000 0.000 0.000
Sn: 0.500 0.500 0.500
Br: 0.114 0.114 0.114
Br: 0.886 0.886 0.886

***

Q | Computed, not measured: an optimized crystal structure of CdSnBr2 at the PBE-GGA level of DFT.

a b c (Å): 7.963 7.963 7.963
angles (deg): 97.33 97.33 138.13
Atoms (fractional coordinates):
Cd: 0.000 0.000 0.000
Cd: 0.750 0.250 0.500
Sn: 0.250 0.750 0.500
Sn: 0.500 0.500 0.000
Br: 0.268 0.625 0.143
Br: 0.375 0.518 0.643
Br: 0.482 0.125 0.857
Br: 0.875 0.732 0.357

***

R | Computed, not measured: an optimized crystal structure of CdSnBr2 at the PBE-GGA level of DFT.

a b c (Å): 5.441 5.441 5.441
angles (deg): 60.00 60.00 60.00
Atoms (fractional coordinates):
Cd: 0.000 0.000 0.000
Sn: 0.500 0.500 0.500
Br: 0.250 0.250 0.250
Br: 0.750 0.750 0.750

***

Winner for stability: P

***

P | Computed, not measured: an optimized crystal structure of SrCd3Br at the PBE-GGA level of DFT.

a b c (Å): 5.830 5.830 5.830
angles (deg): 90.00 90.00 90.00
Atoms (fractional coordinates):
Sr: 0.000 0.000 0.000
Cd: 0.000 0.500 0.500
Cd: 0.500 0.000 0.500
Cd: 0.500 0.500 0.000
Br: 0.500 0.500 0.500

***

Q | Computed, not measured: an optimized crystal structure of SrCd3Br at the PBE-GGA level of DFT.

a b c (Å): 6.577 6.577 6.577
angles (deg): 90.00 90.00 90.00
Atoms (fractional coordinates):
Sr: 0.000 0.000 0.000
Cd: 0.000 0.000 0.500
Cd: 0.000 0.500 0.000
Cd: 0.500 0.000 0.000
Br: 0.500 0.500 0.500

***

Winner for stability: P

***

P | Computed, not measured: an optimized crystal structure of SrCdBr4 at the PBE-GGA level of DFT.

a b c (Å): 8.426 8.426 8.426
angles (deg): 107.27 107.27 113.96
Atoms (fractional coordinates):
Sr: 0.375 0.625 0.750
Sr: 0.625 0.375 0.250
Cd: 0.125 0.875 0.250
Cd: 0.875 0.125 0.750
Br: 0.111 0.674 0.437
Br: 0.264 0.326 0.937
Br: 0.326 0.264 0.437
Br: 0.326 0.889 0.063
Br: 0.674 0.111 0.937
Br: 0.674 0.736 0.563
Br: 0.736 0.674 0.063
Br: 0.889 0.326 0.563

***

Q | Computed, not measured: an optimized crystal structure of SrCdBr4 at the PBE-GGA level of DFT.

a b c (Å): 6.514 6.514 6.514
angles (deg): 60.00 60.00 60.00
Atoms (fractional coordinates):
Sr: 0.000 0.000 0.000
Cd: 0.250 0.250 0.250
Br: 0.126 0.625 0.625
Br: 0.625 0.126 0.625
Br: 0.625 0.625 0.126
Br: 0.625 0.625 0.625

***

Winner for stability: P